First-principles (PBE+U) data for a relaxed structure of CoMoP2O, as listed in the Alexandria database. Values from VASP.

Properties
The value obtained for the magnetic moment is 0.642 μB per atom. The value obtained for the distance to the lowest polymorph of the same formula is 0.000 eV per formula unit.

```
&SYSTEM
  ibrav = 0, nat = 5, ntyp = 4
/
ATOMIC_SPECIES
Co 58.93 Co.upf
Mo 95.94 Mo.upf
P 30.97 P.upf
O 16.00 O.upf
CELL_PARAMETERS angstrom
4.861 0.000 0.000
0.000 4.861 0.000
0.000 0.000 3.765
ATOMIC_POSITIONS angstrom
Co 0.000 0.000 0.000
Mo 2.431 2.431 1.883
P 0.000 2.431 1.883
P 2.431 0.000 1.883
O 2.431 2.431 0.000
```